1.
First-principles (PBE-GGA) data for a relaxed structure of NiMo2As2, as listed in Alexandria via LeMat-Bulk.

Geometry as extended XYZ:
```
10
Lattice="6.8202 0.0000 0.0000 0.0000 6.8202 0.0000 0.0000 0.0000 3.2787" Properties=species:S:1:pos:R:3 pbc="T T T"
Mo 5.8248 2.4147 1.6394
Mo 0.9954 4.4054 1.6394
Mo 4.4054 5.8248 1.6394
Mo 2.4147 0.9954 1.6394
As 5.7736 4.4567 0.0000
As 4.4567 1.0466 0.0000
As 2.3635 5.7736 0.0000
As 1.0466 2.3635 0.0000
Ni 0.0000 0.0000 0.0000
Ni 3.4101 3.4101 0.0000
```


2.
First-principles (PBE-GGA) data for a relaxed structure of NiMo2As2, as listed in Alexandria via LeMat-Bulk.

Geometry as extended XYZ:
```
10
Lattice="6.9107 0.0000 0.0000 0.0000 6.9107 0.0000 0.0000 0.0000 3.2752" Properties=species:S:1:pos:R:3 pbc="T T T"
Mo 4.4463 0.9910 0.0000
Mo 0.9910 2.4643 0.0000
Mo 5.9197 4.4463 0.0000
Mo 2.4643 5.9197 0.0000
As 2.3896 1.0657 1.6376
As 4.5211 5.8449 1.6376
As 1.0657 4.5211 1.6376
As 5.8449 2.3896 1.6376
Ni 3.4553 3.4553 0.0000
Ni 0.0000 0.0000 0.0000
```


Most stable: 2


1.
First-principles (PBE-GGA) data for a relaxed structure of NpMoAs2, as listed in Alexandria via LeMat-Bulk.

Geometry as extended XYZ:
```
4
Lattice="2.9029 0.0000 0.0000 1.4514 2.5140 0.0000 1.4514 0.8380 10.1002" Properties=species:S:1:pos:R:3 pbc="T T T"
Mo 0.0000 0.0000 0.0000
Np 2.9029 1.6760 5.0501
As 1.4514 0.8380 7.5283
As 4.3543 2.5140 2.5719
```


2.
First-principles (PBE-GGA) data for a relaxed structure of NpMoAs2, as listed in Alexandria via LeMat-Bulk.

Geometry as extended XYZ:
```
4
Lattice="-3.1195 -0.6702 -0.3027 0.7196 -3.0540 -0.6535 -0.3363 -1.5599 6.9201" Properties=species:S:1:pos:R:3 pbc="T T T"
As -0.0702 -0.3256 1.4446
As -0.2661 -1.2343 5.4755
Np -1.3681 -2.6421 2.9820
Mo -1.2000 -1.8621 -0.4781
```


Most stable: 2